[1]
{
  "formula": "BaInRh2Au",
  "functional": "PBE-GGA",
  "state": "relaxed",
  "total_magnetization_mub_per_atom": 0.000,
  "crystal_system": "tetragonal",
  "ef_mev_per_atom": 1476,
  "cell": [[-3.710, 1.128, 3.236], [-4.049, -3.420, -3.450], [1.134, -4.096, 2.728]],
  "species": ["Rh", "Rh", "In", "Au", "Ba"],
  "frac_coords": [[0.500, 0.000, 0.000], [0.000, 0.000, 0.500], [0.000, 0.500, 0.000], [0.500, 0.500, 0.500], [0.000, 0.000, 0.000]]
}



[2]
{
  "formula": "Ba6In2RhAu",
  "functional": "PBE-GGA",
  "state": "relaxed",
  "total_magnetization_mub_per_atom": 0.124,
  "crystal_system": "monoclinic",
  "ef_mev_per_atom": -340,
  "cell": [[8.064, 0.000, 0.012], [0.000, 9.112, 0.000], [0.083, 0.000, 12.087]],
  "species": ["Au", "Au", "Ba", "Ba", "Ba", "Ba", "Ba", "Ba", "Ba", "Ba", "Ba", "Ba", "Ba", "Ba", "Rh", "Rh", "In", "In", "In", "In"],
  "frac_coords": [[0.000, 0.500, 0.500], [0.500, 0.000, 0.000], [0.665, 0.302, 0.558], [0.835, 0.802, 0.942], [0.615, 0.030, 0.260], [0.385, 0.970, 0.740], [0.185, 0.174, 0.444], [0.815, 0.826, 0.556], [0.115, 0.470, 0.760], [0.335, 0.698, 0.442], [0.165, 0.198, 0.058], [0.685, 0.326, 0.944], [0.315, 0.674, 0.056], [0.885, 0.530, 0.240], [0.000, 0.500, 0.000], [0.500, 0.000, 0.500], [0.957, 0.101, 0.751], [0.457, 0.399, 0.251], [0.043, 0.899, 0.249], [0.543, 0.601, 0.749]]
}